Crystalline LiY2GaH at its relaxed geometry. Source: the Alexandria database, functional GGA-PBE.

Lattice parameters (Å, degrees): 4.898 4.898 3.832 90.00 90.00 90.00
Space group P4/mmm (No. 123)
Inequivalent atoms, fractional coordinates:
1 Li 0.000 0.000 0.000 (multiplicity 1)
2 Y 0.000 0.500 0.500 (multiplicity 2)
3 Ga 0.500 0.500 0.000 (multiplicity 1)
4 H 0.000 0.000 0.500 (multiplicity 1)

Summary:
Density of states at the Fermi level (states/eV/cell): 4.08
DFT total energy (eV/atom): -4.6847